1.
This record from Alexandria via LeMat-Bulk describes crystalline K2CdI4 at its relaxed geometry. The functional is PBE.

Lattice parameters (Å, degrees): 8.267 8.413 9.742 90.00 107.39 90.00
Space group P2_1/m (No. 11)
Asymmetric unit:
K1 0.224 0.250 0.059 (multiplicity 2)
K2 0.235 0.250 0.556 (multiplicity 2)
Cd1 0.241 0.750 0.809 (multiplicity 2)
I1 0.004 0.005 0.748 (multiplicity 4)
I2 0.433 0.750 0.616 (multiplicity 2)
I3 0.436 0.750 0.099 (multiplicity 2)

Results
density of states at the Fermi level: 0.00 states/eV/f.u.
formation energy without anion corrections: -1100.8 meV per atom
V: 646.5 Å³ per cell

2.
This record from Alexandria via LeMat-Bulk describes crystalline LaSm3P4 at its relaxed geometry. The functional is PBE.

Lattice parameters (Å, degrees): 8.303 11.732 4.152 90.00 90.00 90.00
Space group Cmmm (No. 65)
Asymmetric unit:
La1 0.000 0.000 0.000 (multiplicity 2)
Sm1 0.000 0.500 0.000 (multiplicity 2)
Sm2 0.250 0.250 0.500 (multiplicity 4)
P1 0.000 0.253 0.000 (multiplicity 4)
P2 0.245 0.500 0.500 (multiplicity 4)

Results
density of states at the Fermi level: 0.71 states/eV/f.u.
V: 404.5 Å³ per cell
energy relative to the elements: -1567 meV per atom

Q: Which of these has the highest V?
A: K2CdI4

Q: Which of these has the lowest V?
A: LaSm3P4

Q: V of number 1 (K2CdI4)?
A: 646.5 Å³ per cell

Please write out number 1 again, unchanged.
This record from Alexandria via LeMat-Bulk describes crystalline K2CdI4 at its relaxed geometry. The functional is PBE.

Lattice parameters (Å, degrees): 8.267 8.413 9.742 90.00 107.39 90.00
Space group P2_1/m (No. 11)
Asymmetric unit:
K1 0.224 0.250 0.059 (multiplicity 2)
K2 0.235 0.250 0.556 (multiplicity 2)
Cd1 0.241 0.750 0.809 (multiplicity 2)
I1 0.004 0.005 0.748 (multiplicity 4)
I2 0.433 0.750 0.616 (multiplicity 2)
I3 0.436 0.750 0.099 (multiplicity 2)

Results
density of states at the Fermi level: 0.00 states/eV/f.u.
formation energy without anion corrections: -1100.8 meV per atom
V: 646.5 Å³ per cell